This record from the Alexandria database describes a relaxed structure of CsLiWF6. The functional is PBE+U.

Lattice parameters (Å, degrees): 5.531 5.531 13.065 90.00 90.00 120.00
Positions (direct):
Cs1 0.000 0.000 0.000
Cs2 0.000 0.000 0.500
Li1 0.333 0.667 0.250
Li2 0.667 0.333 0.750
W1 0.333 0.667 0.750
W2 0.667 0.333 0.250
F1 0.011 0.384 0.664
F2 0.011 0.627 0.836
F3 0.373 0.384 0.836
F4 0.373 0.989 0.664
F5 0.384 0.011 0.164
F6 0.384 0.373 0.336
F7 0.616 0.627 0.664
F8 0.616 0.989 0.836
F9 0.627 0.011 0.336
F10 0.627 0.616 0.164
F11 0.989 0.373 0.164
F12 0.989 0.616 0.336

Values from the calculation:
Final energy ... -92.099 eV/cell